No. 1
{"formula": "Li2Hg3", "functional": "GGA-PBE", "state": "relaxed", "final_energy_ev_per_atom": -1.21, "total_magnetization_mub_per_fu": 0.00, "de_polymorph_mev_per_atom": 42, "ef_ev_per_atom": -0.259, "lattice_angstrom": [[-0.7830, -1.8231, -4.2120], [4.2906, -0.0709, 1.8064], [-1.0854, -5.0336, 2.3804]], "species": ["Li", "Li", "Hg", "Hg", "Hg"], "frac_coords": [[0.6667, 0.3333, 0.1640], [0.3333, 0.6667, 0.8360], [0.3333, 0.6667, 0.3430], [0.6667, 0.3333, 0.6570], [0.0000, 0.0000, 0.0000]]}



No. 2
{"formula": "Li5Hg", "functional": "GGA-PBE", "state": "relaxed", "final_energy_ev_per_atom": -1.63, "total_magnetization_mub_per_fu": 0.00, "ef_ev_per_atom": 0.019, "lattice_angstrom": [[-5.2252, 0.4821, -0.1798], [2.1716, -4.6654, 1.0416], [-0.0696, 1.0443, 4.8227]], "species": ["Li", "Li", "Li", "Li", "Li", "Hg"], "frac_coords": [[0.0000, 0.5000, 0.5000], [0.6667, 0.3333, 0.0000], [0.5000, 0.0000, 0.5000], [0.3333, 0.6667, 0.0000], [0.5000, 0.5000, 0.5000], [0.0000, 0.0000, 0.0000]]}



No. 3
{"formula": "Li2LuHg", "functional": "GGA-PBE", "state": "relaxed", "final_energy_ev_per_atom": -2.31, "total_magnetization_mub_per_fu": 0.00, "de_polymorph_mev_per_atom": 0, "ef_ev_per_atom": -0.145, "lattice_angstrom": [[-1.6666, -4.3263, 0.9817], [0.3851, -1.7482, 4.3879], [-3.8623, -0.4947, 2.7010]], "species": ["Li", "Li", "Lu", "Hg"], "frac_coords": [[0.2500, 0.2500, 0.2500], [0.7500, 0.7500, 0.7500], [0.0000, 0.0000, 0.0000], [0.5000, 0.5000, 0.5000]]}



No. 4
{"formula": "Li2LuHg", "functional": "GGA-PBE", "state": "relaxed", "final_energy_ev_per_atom": -2.29, "total_magnetization_mub_per_fu": 0.35, "de_polymorph_mev_per_atom": 17, "ef_ev_per_atom": -0.129, "lattice_angstrom": [[4.9487, 0.0000, 0.0000], [0.0000, 4.2335, 0.0000], [0.0000, 0.0000, 4.2335]], "species": ["Li", "Li", "Hg", "Lu"], "frac_coords": [[0.0000, 0.0000, 0.5000], [0.0000, 0.5000, 0.0000], [0.5000, 0.0000, 0.0000], [0.5000, 0.5000, 0.5000]]}